Below is an optimized crystal structure of CsTl3V4O12, with properties calculated at the PBE with a Hubbard U level.

Cell lengths 14.0703, 14.0703, 6.7493 Å; angles 90.00, 90.00, 120.00 degrees
With the nearest neighbours (Å) after each atom.
Space group R32 (No. 155, hexagonal axes)
One atom of each set of equivalent atoms:
Cs1 0.0000 0.0000 0.0000 [3 per cell]  2 V 3.37, 12 O 3.68-3.77
Tl1 0.0000 0.5648 0.0000 [9 per cell]  2 O 2.51
V1 0.0000 0.0000 0.5000 [3 per cell]  3 O 1.69
V2 0.0000 0.4108 0.5000 [9 per cell]  3 O 1.68-1.76
O1 0.0000 0.5300 0.5000 [9 per cell]  1 V 1.68
O2 0.0000 0.8799 0.5000 [9 per cell]  1 V 1.69
O3 0.0557 0.2745 0.1481 [18 per cell]  1 V 1.76

- VASP energy (eV per atom) = -6.155